No. 1
# PBE MnSi2Ni, relaxed
# V = 45.36 Å³/cell
# E_tot = -0.252 hartree per atom
# symmetry = Cm
# spin magnetization = 0.51 μB/f.u.
data_MnSi2Ni
_cell_length_a 4.456
_cell_length_b 4.456
_cell_length_c 3.973
_cell_angle_alpha 104.90
_cell_angle_beta 104.90
_cell_angle_gamma 36.67
_symmetry_space_group_name_H-M 'P 1'
_symmetry_Int_Tables_number 1
loop_
_symmetry_equiv_pos_as_xyz
'x,y,z'
loop_
_atom_site_label
_atom_site_type_symbol
_atom_site_fract_x
_atom_site_fract_y
_atom_site_fract_z
_atom_site_occupancy
Mn1 Mn 0.000 0.000 0.000 1
Si1 Si 0.263 0.263 0.892 1
Si2 Si 0.509 0.509 0.512 1
Ni1 Ni 0.768 0.768 0.391 1


No. 2
# PBE Y2CrPt, relaxed
# formation energy = -1.65 eV per formula unit
# V = 93.78 Å³/cell
# E_tot = -0.278 hartree per atom
# symmetry = Amm2
# spin magnetization = 3.55 μB/f.u.
data_Y2CrPt
_cell_length_a 4.135
_cell_length_b 5.925
_cell_length_c 5.925
_cell_angle_alpha 40.24
_cell_angle_beta 90.00
_cell_angle_gamma 90.00
_symmetry_space_group_name_H-M 'P 1'
_symmetry_Int_Tables_number 1
loop_
_symmetry_equiv_pos_as_xyz
'x,y,z'
loop_
_atom_site_label
_atom_site_type_symbol
_atom_site_fract_x
_atom_site_fract_y
_atom_site_fract_z
_atom_site_occupancy
Y1 Y 0.000 0.000 0.000 1
Y2 Y 0.500 0.294 0.294 1
Cr1 Cr 0.500 0.583 0.583 1
Pt1 Pt 0.000 0.728 0.728 1


No. 3
# PBE Tm2Cd2BRh4, relaxed
# formation energy = -4.63 eV per formula unit
# V = 154.31 Å³/cell
# E_tot = -0.210 hartree per atom
# symmetry = I4/mmm
# spin magnetization = 0.00 μB/f.u.
data_Tm2Cd2BRh4
_cell_length_a 5.992
_cell_length_b 5.992
_cell_length_c 5.992
_cell_angle_alpha 119.03
_cell_angle_beta 119.03
_cell_angle_gamma 91.68
_symmetry_space_group_name_H-M 'P 1'
_symmetry_Int_Tables_number 1
loop_
_symmetry_equiv_pos_as_xyz
'x,y,z'
loop_
_atom_site_label
_atom_site_type_symbol
_atom_site_fract_x
_atom_site_fract_y
_atom_site_fract_z
_atom_site_occupancy
Tm1 Tm 0.205 0.205 0.000 1
Tm2 Tm 0.795 0.795 0.000 1
Cd1 Cd 0.250 0.750 0.500 1
Cd2 Cd 0.750 0.250 0.500 1
B1 B 0.500 0.500 0.000 1
Rh1 Rh 0.260 0.260 0.520 1
Rh2 Rh 0.260 0.740 0.000 1
Rh3 Rh 0.740 0.260 0.000 1
Rh4 Rh 0.740 0.740 0.480 1